(1)
Computed, not measured: Ba2NaGaPd after structural relaxation at the GGA-PBE level of DFT.

Unit cell a=6.2812 b=6.2812 c=4.9397 alpha=90.00 beta=90.00 gamma=90.00
Closest atoms and distances in Å follow each position.
Element x y z (fractional)
Ga  0.0000  0.0000  0.5000  2 Pd 2.47
Pd  0.0000  0.0000  0.0000  2 Ga 2.47
Ba  0.0000  0.5000  0.0000  2 Pd 3.14
Ba  0.5000  0.0000  0.0000  2 Pd 3.14
Na  0.5000  0.5000  0.5000  8 Ba 4.00, 4 Ga 4.44

Results
E_form ... -0.30 eV/atom
Volume ... 194.9 Å³ per cell
Magnetization ... 0.01 Bohr magnetons per cell

(2)
Computed, not measured: ZnOsRu2 after structural relaxation at the GGA-PBE level of DFT.

Unit cell a=2.7985 b=4.5167 c=4.4975 alpha=90.00 beta=90.00 gamma=90.00
Closest atoms and distances in Å follow each position.
Element x y z (fractional)
Ru  0.5000  0.5000  0.0000  4 Os 2.65, 6 Ru 2.66-2.80
Ru  0.0000  0.0000  0.0000  4 Zn 2.65, 6 Ru 2.66-2.80
Os  0.0000  0.5000  0.5000  4 Ru 2.65, 4 Zn 2.66, 2 Os 2.80
Zn  0.5000  0.0000  0.5000  4 Ru 2.65, 4 Os 2.66, 2 Zn 2.80

Results
E_form ... 0.39 eV/atom
Volume ... 56.8 Å³ per cell
Magnetization ... 0.00 Bohr magnetons per cell

(3)
Computed, not measured: AuCClO after structural relaxation at the GGA-PBE level of DFT.

Unit cell a=8.8549 b=8.8549 c=5.1969 alpha=90.00 beta=90.00 gamma=148.01
Closest atoms and distances in Å follow each position.
Element x y z (fractional)
O  0.9422  0.0578  0.2500  1 C 1.15
O  0.0578  0.9422  0.7500  1 C 1.15
C  0.1251  0.8749  0.7500  1 O 1.15
C  0.8749  0.1251  0.2500  1 O 1.15
Au  0.7625  0.2375  0.2500  1 C 1.91
Au  0.2375  0.7625  0.7500  1 C 1.91
Cl  0.6292  0.3708  0.2500  1 Au 2.27
Cl  0.3708  0.6292  0.7500  1 Au 2.27

Results
Uncorrected formation energy ... -0.448 eV/atom
Volume ... 215.9 Å³ per cell
Magnetization ... 0.00 Bohr magnetons per cell

(4)
Computed, not measured: BaMgZrNb2 after structural relaxation at the GGA-PBE level of DFT.

Unit cell a=5.0804 b=5.7713 c=5.0804 alpha=90.00 beta=90.00 gamma=90.00
Closest atoms and distances in Å follow each position.
Element x y z (fractional)
Ba  0.5000  0.5000  0.5000  4 Mg 3.59, 8 Nb 3.84
Zr  0.0000  0.0000  0.0000  4 Nb 2.54
Mg  0.0000  0.5000  0.0000  2 Zr 2.89
Nb  0.5000  0.0000  0.0000  2 Zr 2.54
Nb  0.0000  0.0000  0.5000  2 Zr 2.54

Results
E_form ... 1.02 eV/atom
Volume ... 149.0 Å³ per cell
Magnetization ... 0.94 Bohr magnetons per cell

(5)
Computed, not measured: FeGe2Cl after structural relaxation at the GGA-PBE level of DFT.

Unit cell a=4.6676 b=4.6676 c=4.6676 alpha=60.00 beta=60.00 gamma=60.00
Closest atoms and distances in Å follow each position.
Element x y z (fractional)
Cl  0.0000  0.0000  0.0000  8 Ge 2.86
Ge  0.7500  0.7500  0.7500  4 Fe 2.86, 4 Cl 2.86
Ge  0.2500  0.2500  0.2500  4 Fe 2.86, 4 Cl 2.86
Fe  0.5000  0.5000  0.5000  8 Ge 2.86

Results
Energy above the most stable polymorph in this dataset ... 273 meV/atom
Uncorrected formation energy ... 0.586 eV/atom
Volume ... 71.9 Å³ per cell
Magnetization ... 2.45 Bohr magnetons per cell

(6)
Computed, not measured: GdEr3H after structural relaxation at the GGA-PBE level of DFT.

Unit cell a=4.9459 b=4.9459 c=4.9459 alpha=90.00 beta=90.00 gamma=90.00
Closest atoms and distances in Å follow each position.
Element x y z (fractional)
H  0.0000  0.0000  0.0000  6 Er 2.47
Er  0.0000  0.5000  0.0000  2 H 2.47
Er  0.0000  0.0000  0.5000  2 H 2.47
Er  0.5000  0.0000  0.0000  2 H 2.47
Gd  0.5000  0.5000  0.5000  12 Er 3.50

Results
Uncorrected energy ... -6.39 eV/atom
Volume ... 121.0 Å³ per cell
Magnetization ... 6.97 Bohr magnetons per cell